# LaInTe2 PBE relaxed
data_LaInTe2
_space_group_name_H-M_alt 'R 3 m'
_space_group_IT_number 160
_space_group_name_Hall 'R 3 -2"'
_cell_length_a 4.5130
_cell_length_b 4.5130
_cell_length_c 25.2442
_cell_angle_alpha 90.00
_cell_angle_beta 90.00
_cell_angle_gamma 120.00
loop_
_atom_site_label
_atom_site_fract_x
_atom_site_fract_y
_atom_site_fract_z
_atom_site_occupancy
La1 0.0000 0.0000 0.0000 1
In1 0.0000 0.0000 0.1676 1
Te1 0.0000 0.0000 0.5895 1
Te2 0.0000 0.0000 0.7450 1
# Raw formation energy (eV per atom): -0.99